Material: ZrTi3V
Method: DFT, PBE
State: relaxed

a = 4.5899 Å, b = 4.5899 Å, c = 4.5899 Å
α = 90.00°, β = 90.00°, γ = 90.00°
Closest atoms and distances in Å follow each position.
Space group Pm-3m (No. 221)
Symmetry-distinct sites (fractional):
Zr  0.0000  0.0000  0.0000 x1  12 Ti 3.25
Ti  0.0000  0.5000  0.5000 x3  2 V 2.29
V  0.5000  0.5000  0.5000 x1  6 Ti 2.29

energy above the lowest structure with this stoichiometry	0.000	eV per formula unit
formation enthalpy at 0 K	508	meV per atom
electronic total energy	-7.76	eV per atom